# PBE CaRu2Pb, relaxed
data_CaRu2Pb
_chemical_formula_sum 'Ca4 Ru8 Pb4'
_cell_length_a 6.760
_cell_length_b 6.760
_cell_length_c 6.760
_cell_angle_alpha 90.00
_cell_angle_beta 90.00
_cell_angle_gamma 90.00
_space_group_name_H-M_alt 'F -4 3 m'
_space_group_IT_number 216
_space_group_name_Hall 'F -4 2 3'
loop_
_atom_site_label
_atom_site_type_symbol
_atom_site_fract_x
_atom_site_fract_y
_atom_site_fract_z
_atom_site_occupancy
Ca1 Ca 0.000 0.000 0.000 1
Ru1 Ru 0.000 0.000 0.500 1
Ru2 Ru 0.250 0.250 0.750 1
Pb1 Pb 0.250 0.250 0.250 1
# ΔE_f: 0.45 eV/atom